Compound: Ni2AuO
Source: Alexandria
Functional: PBE with a Hubbard U
Structure: optimized geometry Values from VASP.

Quantum ESPRESSO input file:
```
&SYSTEM
  ibrav = 0, nat = 8, ntyp = 3
/
ATOMIC_SPECIES
Au 196.97 Au.upf
O 16.00 O.upf
Ni 58.69 Ni.upf
CELL_PARAMETERS angstrom
5.010 0.000 0.000
0.000 5.010 0.000
2.505 2.505 5.330
ATOMIC_POSITIONS crystal
Au 0.750 0.250 0.500
O 0.500 0.500 0.000
O 0.250 0.750 0.500
Au 0.000 0.000 0.000
Ni 0.375 0.526 0.750
Ni 0.875 0.724 0.750
Ni 0.474 0.125 0.250
Ni 0.276 0.625 0.250
```

Results
VASP energy, eV per atom: -3.228
Space-group type: I-42d (122)
D(E_F), states/eV per cell: 2.69